[1]
Material: TbDy6S8
Method: DFT, PBE
State: relaxed

```
TbDy6S8
1.0
-6.896 -2.317 -2.806
-0.683 -6.994 -3.379
-3.953 -5.690 3.579
Tb Dy S
1 6 8
Direct
0.000 0.000 0.000
0.000 0.500 0.500
0.500 0.000 0.000
0.500 0.500 0.000
0.000 0.000 0.500
0.000 0.500 0.000
0.500 0.000 0.500
0.750 0.750 0.750
0.250 0.250 0.250
0.748 0.252 0.252
0.252 0.748 0.748
0.252 0.252 0.748
0.748 0.748 0.252
0.748 0.252 0.748
0.252 0.748 0.252
```

Calculated values
energy relative to the elements, uncorrected	-2051	meV per atom


[2]
Material: Tb3DyS6
Method: DFT, PBE
State: relaxed

```
Tb3DyS6
1.0
-0.793 -7.429 3.030
3.707 -2.893 -6.549
7.061 0.957 3.771
Tb Dy S
6 2 12
Direct
0.433 0.924 0.752
0.924 0.752 0.433
0.248 0.567 0.076
0.752 0.433 0.924
0.076 0.248 0.567
0.567 0.076 0.248
0.000 0.000 0.000
0.500 0.500 0.500
0.315 0.909 0.081
0.091 0.919 0.685
0.595 0.819 0.464
0.919 0.685 0.091
0.464 0.595 0.819
0.181 0.536 0.405
0.819 0.464 0.595
0.536 0.405 0.181
0.081 0.315 0.909
0.405 0.181 0.536
0.909 0.081 0.315
0.685 0.091 0.919
```

Calculated values
energy relative to the elements, uncorrected	-2066	meV per atom


[3]
Material: TbDyTeS
Method: DFT, PBE
State: relaxed

```
TbDyTeS
1.0
4.025 -0.001 0.000
-2.013 3.487 0.000
-2.012 -1.161 7.136
Tb Dy Te S
1 1 1 1
Direct
0.942 0.369 0.327
0.332 0.564 0.911
0.472 0.134 0.622
0.132 0.964 0.111
```

Calculated values
energy relative to the elements, uncorrected	-1695	meV per atom


[4]
Material: TbDyTe2S
Method: DFT, PBE
State: relaxed

```
TbDyTe2S
1.0
-2.236 2.468 2.875
-2.883 1.058 -3.150
-8.754 -12.410 3.844
Tb Dy Te S
2 2 4 2
Direct
0.500 0.000 0.600
0.000 0.500 0.400
0.500 0.000 0.115
0.000 0.500 0.885
0.000 0.500 0.700
0.000 0.500 0.092
0.500 0.000 0.908
0.500 0.000 0.300
0.000 0.000 0.500
0.500 0.500 0.500
```

Calculated values
energy relative to the elements, uncorrected	-1470	meV per atom


[5]
Material: Tb4Dy3ThS8
Method: DFT, PBE
State: relaxed

```
Tb4Dy3ThS8
1.0
-7.596 -1.305 1.619
0.917 -7.599 -1.826
4.658 3.347 5.397
Tb Dy Th S
4 3 1 8
Direct
0.500 0.000 0.000
0.500 0.000 0.500
0.000 0.000 0.000
0.000 0.000 0.500
0.500 0.500 0.000
0.500 0.500 0.500
0.000 0.500 0.500
0.000 0.500 0.000
0.254 0.752 0.998
0.254 0.752 0.507
0.251 0.252 0.502
0.745 0.752 0.998
0.255 0.248 0.002
0.749 0.748 0.498
0.746 0.248 0.493
0.746 0.248 0.002
```

Calculated values
energy relative to the elements, uncorrected	-1969	meV per atom


[6]
Material: Tb3DyTh4S8
Method: DFT, PBE
State: relaxed

```
Tb3DyTh4S8
1.0
7.832 0.000 0.000
0.000 8.095 0.179
-3.916 -3.912 5.542
Tb Dy Th S
3 1 4 8
Direct
0.500 0.500 0.000
0.500 0.500 0.500
0.000 0.500 0.500
0.000 0.500 0.000
0.500 0.000 0.000
0.500 0.000 0.500
0.000 0.000 0.000
0.000 0.000 0.500
0.245 0.735 0.991
0.245 0.735 0.489
0.255 0.264 0.509
0.746 0.735 0.991
0.254 0.265 0.009
0.745 0.736 0.491
0.755 0.265 0.511
0.755 0.265 0.009
```

Calculated values
energy relative to the elements, uncorrected	-1921	meV per atom


| no. | spin magnetization (μB/f.u.) | N(E_F) (states/eV/cell) |
| --- | --- | --- |
| 1 | 0.0 | 6.1 |
| 2 | 0.0 | 0.0 |
| 3 | 0.0 | 0.2 |
| 4 | 0.0 | 3.0 |
| 5 | 0.0 | 9.8 |
| 6 | 0.0 | 5.1 |